1.
Be2CdOs | PBE | relaxed

## Properties
For the total energy, the calculation gives -4.723 eV/atom. For the formation energy, the calculation gives 0.176 eV/atom. As for the space group: P4/mmm. The calculation puts the density of states at the Fermi level at 0.3876 states/eV/atom. As for the volume: 49.2 Å³ per cell. As for the total magnetization: 0.0 μB per formula unit.

Geometry as extended XYZ:
```
4
Lattice="-3.875 -0.848 -0.705 0.914 -3.911 -0.317 -0.465 -0.350 2.977" Properties=species:S:1:pos:R:3 pbc="T T T"
Os 0.224 -2.130 1.330
Be 0.000 0.000 0.000
Be -1.480 -2.380 -0.511
Cd -2.170 -0.599 1.136
```

2.
CdTcBO6 | PBE | relaxed

## Properties
For the total energy, the calculation gives -6.733 eV/atom. The energy relative to the elements, uncorrected is -1.43 eV/atom. As for the space group: P1. As for the volume: 121.0 Å³ per cell. As for the total magnetization: 0.0 μB per formula unit.

Geometry as extended XYZ:
```
9
Lattice="-5.891 1.556 1.074 -3.642 -2.969 -0.973 0.819 -2.099 4.292" Properties=species:S:1:pos:R:3 pbc="T T T"
O -6.704 -2.509 1.232
O -6.835 -0.207 2.030
O -3.566 -1.823 0.820
O -2.006 -3.435 2.158
O -1.456 -1.308 3.517
O -4.112 -1.777 3.476
B -7.092 -1.533 2.164
Cd 0.560 -2.158 4.091
Tc -2.823 -1.396 2.378
```

3.
Pr4NiGe | PBE | relaxed

## Properties
For the total energy, the calculation gives -5.255 eV/atom. For the formation energy, the calculation gives -0.336 eV/atom. As for the space group: C2/c. The calculation puts the density of states at the Fermi level at 1.0258 states/eV/atom. As for the volume: 344.0 Å³ per cell. As for the total magnetization: 0.0 μB per formula unit.

Geometry as extended XYZ:
```
12
Lattice="6.363 -0.001 0.000 -1.624 7.681 0.000 -2.370 -3.840 7.039" Properties=species:S:1:pos:R:3 pbc="T T T"
Pr -0.792 4.776 4.375
Pr 3.286 2.167 0.878
Pr 2.349 2.904 4.375
Pr 0.020 0.936 2.664
Pr 4.635 5.512 0.878
Pr -0.916 1.673 6.161
Pr 3.161 -0.936 2.664
Pr -2.265 -1.672 6.161
Ni -2.403 3.840 7.038
Ni 4.772 -0.001 0.001
Ge 0.779 3.840 1.757
Ge 1.591 0.000 5.282
```

4.
NdEr2ScAu4 | PBE | relaxed

## Properties
For the total energy, the calculation gives -4.983 eV/atom. For the formation energy, the calculation gives -0.816 eV/atom. As for the space group: R-3m. The calculation puts the density of states at the Fermi level at 0.5838 states/eV/atom. As for the volume: 182.8 Å³ per cell. As for the total magnetization: 0.0 μB per formula unit.

Geometry as extended XYZ:
```
8
Lattice="4.997 0.000 0.000 2.499 4.328 0.000 2.499 1.443 8.451" Properties=species:S:1:pos:R:3 pbc="T T T"
Au 4.997 2.885 1.338
Au 2.499 1.443 5.176
Au 4.997 2.885 7.113
Au 7.496 4.328 3.275
Er 2.499 1.443 2.198
Er 7.496 4.328 6.253
Sc 4.997 2.885 4.225
Nd 0.000 0.000 0.000
```

Repeat the second record exactly.
CdTcBO6 | PBE | relaxed

## Properties
For the total energy, the calculation gives -6.733 eV/atom. The energy relative to the elements, uncorrected is -1.43 eV/atom. As for the space group: P1. As for the volume: 121.0 Å³ per cell. As for the total magnetization: 0.0 μB per formula unit.

Geometry as extended XYZ:
```
9
Lattice="-5.891 1.556 1.074 -3.642 -2.969 -0.973 0.819 -2.099 4.292" Properties=species:S:1:pos:R:3 pbc="T T T"
O -6.704 -2.509 1.232
O -6.835 -0.207 2.030
O -3.566 -1.823 0.820
O -2.006 -3.435 2.158
O -1.456 -1.308 3.517
O -4.112 -1.777 3.476
B -7.092 -1.533 2.164
Cd 0.560 -2.158 4.091
Tc -2.823 -1.396 2.378
```